First-principles (PBE-GGA) data for a geometry-optimized La8Tc2Hg3 structure, as listed in Alexandria via LeMat-Bulk.

The structure in CIF format:
```
data_La8Tc2Hg3
_cell_length_a 8.272
_cell_length_b 4.784
_cell_length_c 10.396
_cell_angle_alpha 90.00
_cell_angle_beta 109.92
_cell_angle_gamma 90.00
_symmetry_space_group_name_H-M 'P 1'
_symmetry_Int_Tables_number 1
_symmetry_space_group_name_Hall 'P 1'
loop_
_atom_site_label
_atom_site_fract_x
_atom_site_fract_y
_atom_site_fract_z
_atom_site_occupancy
La1 0.020 0.000 0.213 1
La2 0.237 0.000 0.572 1
La3 0.320 0.500 0.873 1
La4 0.370 0.500 0.320 1
La5 0.630 0.500 0.680 1
La6 0.680 0.500 0.127 1
La7 0.763 0.000 0.428 1
La8 0.980 0.000 0.787 1
Tc1 0.063 0.500 0.409 1
Tc2 0.937 0.500 0.591 1
Hg1 0.000 0.500 0.000 1
Hg2 0.381 0.000 0.107 1
Hg3 0.619 0.000 0.893 1
```

Properties
raw total energy: -4.860 eV per atom
calculated density: 8.20 g cm⁻³
symmetry: P2/m (10)
total moment: 0.0 μB per formula unit
N(E_F): 14.708 states/eV/cell